[1]
# Th3HgRh PBE relaxed
# Mass density in g/cm3: 11.757
# Energy relative to the elements in eV per atom: -0.335
# D(E_F) in states/eV per atom: 1.0105
# Energy in eV per atom: -6.318
data_Th3HgRh
_chemical_formula_sum 'Th6 Hg2 Rh2'
_cell_length_a 5.8471
_cell_length_b 7.2150
_cell_length_c 7.0974
_cell_angle_alpha 90.00
_cell_angle_beta 109.43
_cell_angle_gamma 90.00
_symmetry_space_group_name_H-M 'P 1 21/m 1'
_symmetry_Int_Tables_number 11
loop_
_symmetry_equiv_pos_as_xyz
'x,y,z'
'-x,-y,-z'
'-x,y+1/2,-z'
'x,-y+1/2,z'
loop_
_atom_site_label
_atom_site_type_symbol
_atom_site_fract_x
_atom_site_fract_y
_atom_site_fract_z
_atom_site_occupancy
Th1 Th 0.1555 0.2500 0.1522 1
Th2 Th 0.2866 0.0211 0.6920 1
Hg1 Hg 0.2151 0.7500 0.3068 1
Rh1 Rh 0.3959 0.7500 0.9748 1

---

[2]
# Th7Hg2Rh2 PBE relaxed
# Mass density in g/cm3: 11.295
# Energy relative to the elements in eV per atom: -0.189
# D(E_F) in states/eV per atom: 1.2495
# Energy in eV per atom: -6.303
data_Th7Hg2Rh2
_chemical_formula_sum 'Th14 Hg4 Rh4'
_cell_length_a 11.3025
_cell_length_b 8.2335
_cell_length_c 7.0499
_cell_angle_alpha 90.00
_cell_angle_beta 90.08
_cell_angle_gamma 90.00
_symmetry_space_group_name_H-M 'C 1 2/m 1'
_symmetry_Int_Tables_number 12
loop_
_symmetry_equiv_pos_as_xyz
'x,y,z'
'-x,-y,-z'
'-x,y,-z'
'x,-y,z'
'x+1/2,y+1/2,z'
'-x+1/2,-y+1/2,-z'
'-x+1/2,y+1/2,-z'
'x+1/2,-y+1/2,z'
loop_
_atom_site_label
_atom_site_type_symbol
_atom_site_fract_x
_atom_site_fract_y
_atom_site_fract_z
_atom_site_occupancy
Th1 Th 0.0000 0.0000 0.0000 1
Th2 Th 0.9998 0.5000 0.2450 1
Th3 Th 0.2498 0.2503 0.2668 1
Hg1 Hg 0.0000 0.1703 0.5000 1
Rh1 Rh 0.2352 0.5000 0.9994 1

---

[3]
# ThHgRh PBE relaxed
# Mass density in g/cm3: 12.948
# Energy relative to the elements in eV per atom: -0.395
# D(E_F) in states/eV per atom: 1.5429
# Energy in eV per atom: -5.419
data_ThHgRh
_chemical_formula_sum 'Th1 Hg1 Rh1'
_cell_length_a 4.7725
_cell_length_b 4.7725
_cell_length_c 3.4818
_cell_angle_alpha 90.00
_cell_angle_beta 90.00
_cell_angle_gamma 120.00
_symmetry_space_group_name_H-M 'P -6 m 2'
_symmetry_Int_Tables_number 187
_symmetry_space_group_name_Hall 'P -6 2'
loop_
_atom_site_label
_atom_site_type_symbol
_atom_site_fract_x
_atom_site_fract_y
_atom_site_fract_z
_atom_site_occupancy
Th1 Th 0.0000 0.0000 0.0000 1
Hg1 Hg 0.3333 0.6667 0.5000 1
Rh1 Rh 0.6667 0.3333 0.5000 1

---

[4]
# Th6Hg2Rh PBE relaxed
# Mass density in g/cm3: 11.836
# Energy relative to the elements in eV per atom: -0.186
# D(E_F) in states/eV per atom: 1.2523
# Energy in eV per atom: -6.016
data_Th6Hg2Rh
_chemical_formula_sum 'Th12 Hg4 Rh2'
_cell_length_a 6.3246
_cell_length_b 8.1621
_cell_length_c 12.0133
_cell_angle_alpha 90.00
_cell_angle_beta 120.91
_cell_angle_gamma 90.00
_symmetry_space_group_name_H-M 'P 1 21/c 1'
_symmetry_Int_Tables_number 14
loop_
_symmetry_equiv_pos_as_xyz
'x,y,z'
'-x,-y,-z'
'-x,y+1/2,-z+1/2'
'x,-y+1/2,z+1/2'
loop_
_atom_site_label
_atom_site_type_symbol
_atom_site_fract_x
_atom_site_fract_y
_atom_site_fract_z
_atom_site_occupancy
Th1 Th 0.0577 0.1893 0.4525 1
Th2 Th 0.3334 0.6637 0.4509 1
Th3 Th 0.3740 0.0212 0.2406 1
Hg1 Hg 0.1398 0.1244 0.7448 1
Rh1 Rh 0.5000 0.0000 0.5000 1